Entry 1:
First-principles (SCAN) data for a PBEsol-optimized structure of ReRuBr2, as listed in Alexandria.

CIF file:
```
data_ReRuBr2
_space_group_name_H-M_alt 'C 1 2/m 1'
_space_group_IT_number 12
_space_group_name_Hall '-C 2y'
_cell_length_a 5.798
_cell_length_b 8.661
_cell_length_c 3.057
_cell_angle_alpha 90.00
_cell_angle_beta 117.89
_cell_angle_gamma 90.00
loop_
_atom_site_label
_atom_site_type_symbol
_atom_site_fract_x
_atom_site_fract_y
_atom_site_fract_z
Re1 Re 0.000 0.000 0.000
Ru1 Ru 0.000 0.500 0.000
Br1 Br 0.250 0.250 0.000
```

Fermi-level density of states: 0.760 states/eV per atom
ΔE_f (raw): 1409 meV per atom
Energy relative to the lowest polymorph listed for this composition: 11 meV/atom
Total magnetization: 2.78 μB/cell



Entry 2:
First-principles (SCAN) data for a PBEsol-optimized structure of Mg2AgSe, as listed in Alexandria.

CIF file:
```
data_Mg2AgSe
_space_group_name_H-M_alt 'P 1 2/m 1'
_space_group_IT_number 10
_space_group_name_Hall '-P 2y'
_cell_length_a 3.444
_cell_length_b 3.443
_cell_length_c 6.321
_cell_angle_alpha 90.00
_cell_angle_beta 90.40
_cell_angle_gamma 90.00
loop_
_atom_site_label
_atom_site_type_symbol
_atom_site_fract_x
_atom_site_fract_y
_atom_site_fract_z
Mg1 Mg 0.002 0.000 0.250
Ag1 Ag 0.500 0.500 0.000
Se1 Se 0.500 0.500 0.500
```

Fermi-level density of states: 0.301 states/eV per atom
ΔE_f (raw): -495 meV per atom
Total magnetization: 0.00 μB/cell



Entry 3:
First-principles (SCAN) data for a PBEsol-optimized structure of MgHgRhSe2, as listed in Alexandria.

CIF file:
```
data_MgHgRhSe2
_space_group_name_H-M_alt 'P 4/m m m'
_space_group_IT_number 123
_space_group_name_Hall '-P 4 2'
_cell_length_a 5.151
_cell_length_b 5.151
_cell_length_c 4.951
_cell_angle_alpha 90.00
_cell_angle_beta 90.00
_cell_angle_gamma 90.00
loop_
_atom_site_label
_atom_site_type_symbol
_atom_site_fract_x
_atom_site_fract_y
_atom_site_fract_z
Mg1 Mg 0.000 0.000 0.000
Hg1 Hg 0.000 0.000 0.500
Rh1 Rh 0.500 0.500 0.000
Se1 Se 0.000 0.500 0.500
```

Fermi-level density of states: 0.897 states/eV per atom
ΔE_f (raw): 976 meV per atom
Total magnetization: 2.01 μB/cell



Question: What is the formula in the second record?
Answer: Mg2AgSe



Question: What is the ΔE_f (raw) in the second record?
Answer: -495 meV per atom



Question: Look up the total magnetization of the second one.
Answer: 0.00 μB/cell